(1)
Material: LaZn2Pt
Method: DFT, PBE
State: optimized geometry

ΔH_f (0 K)   -2.61 eV/f.u.
Magnetization   0.00 μB per formula unit
Total DFT energy (no corrections)   -4.03 eV per atom
Space group   No. 8
Volume   86.1 Å³/cell

a = 4.4747 Å, b = 4.4747 Å, c = 5.5869 Å
α = 113.56°, β = 113.56°, γ = 60.24°
Fractional positions:
La1 0.0000 0.0000 0.0000
Zn1 0.5262 0.5262 0.5795
Zn2 0.7945 0.7945 0.3858
Pt1 0.1993 0.1993 0.6007

(2)
Material: PaAlGa
Method: DFT, PBE
State: optimized geometry

ΔH_f (0 K)   -0.77 eV/f.u.
Magnetization   0.62 μB per formula unit
Total DFT energy (no corrections)   -5.68 eV per atom
Space group   No. 187
Volume   63.0 Å³/cell

a = 4.2874 Å, b = 4.2874 Å, c = 3.9565 Å
α = 90.00°, β = 90.00°, γ = 120.00°
Fractional positions:
Pa1 0.0000 0.0000 0.0000
Al1 0.6667 0.3333 0.5000
Ga1 0.3333 0.6667 0.5000

(3)
Material: BSbBr2
Method: DFT, PBE
State: optimized geometry

Uncorrected formation energy   893 meV/atom
Magnetization   0.00 μB per formula unit
ΔE to the lowest computed polymorph   29.1 kJ/mol of atoms
Total DFT energy (no corrections)   -2.64 eV per atom
Space group   No. 122
Volume   236.9 Å³/cell

a = 6.9454 Å, b = 6.9454 Å, c = 6.9454 Å
α = 120.01°, β = 120.01°, γ = 89.98°
Fractional positions:
B1 0.0000 0.0000 0.0000
B2 0.7500 0.2500 0.5000
Sb1 0.2500 0.7500 0.5000
Sb2 0.5000 0.5000 0.0000
Br1 0.3750 0.1263 0.2513
Br2 0.8737 0.1250 0.2487
Br3 0.8750 0.1237 0.7487
Br4 0.8763 0.6250 0.7513